# KRbIO2, optimized geometry, DFT PBEsol
# total DFT energy (no corrections) = -2.977 eV/atom
# DOS at the Fermi energy = 8.40 states/eV per cell
# energy relative to the elements, uncorrected = -2.13 kcal/mol of atoms
data_KRbIO2
_cell_length_a 5.0785
_cell_length_b 5.0785
_cell_length_c 7.0988
_cell_angle_alpha 90.00
_cell_angle_beta 90.00
_cell_angle_gamma 90.00
_symmetry_space_group_name_H-M 'P 4/m m m'
_symmetry_Int_Tables_number 123
_symmetry_space_group_name_Hall '-P 4 2'
loop_
_atom_site_label
_atom_site_type_symbol
_atom_site_fract_x
_atom_site_fract_y
_atom_site_fract_z
K1 K 0.0000 0.0000 0.0000
Rb1 Rb 0.5000 0.5000 0.5000
I1 I 0.5000 0.5000 0.0000
O1 O 0.0000 0.5000 0.5000

=====

# YMoAu2, optimized geometry, DFT PBEsol
# total DFT energy (no corrections) = -6.495 eV/atom
# E_form = 115 meV/atom
# DOS at the Fermi energy = 6.97 states/eV per cell
# excess energy over the best structure of this formula in the dataset = 0.206 eV per atom
data_YMoAu2
_cell_length_a 9.7032
_cell_length_b 2.9013
_cell_length_c 5.3664
_cell_angle_alpha 90.00
_cell_angle_beta 99.34
_cell_angle_gamma 90.00
_symmetry_space_group_name_H-M 'C 1 2/m 1'
_symmetry_Int_Tables_number 12
loop_
_symmetry_equiv_pos_as_xyz
'x,y,z'
'-x,-y,-z'
'-x,y,-z'
'x,-y,z'
'x+1/2,y+1/2,z'
'-x+1/2,-y+1/2,-z'
'-x+1/2,y+1/2,-z'
'x+1/2,-y+1/2,z'
loop_
_atom_site_label
_atom_site_type_symbol
_atom_site_fract_x
_atom_site_fract_y
_atom_site_fract_z
Y1 Y 0.0000 0.0000 0.0000
Mo1 Mo 0.0000 0.5000 0.5000
Au1 Au 0.2406 0.0000 0.7254

=====

# YMn3Tc, optimized geometry, DFT PBEsol
# total DFT energy (no corrections) = -8.638 eV/atom
# E_form = 837 meV/atom
# DOS at the Fermi energy = 7.77 states/eV per cell
# excess energy over the best structure of this formula in the dataset = 0.000 eV per atom
data_YMn3Tc
_cell_length_a 4.5016
_cell_length_b 4.5016
_cell_length_c 4.5016
_cell_angle_alpha 90.00
_cell_angle_beta 90.00
_cell_angle_gamma 90.00
_symmetry_space_group_name_H-M 'P m -3 m'
_symmetry_Int_Tables_number 221
_symmetry_space_group_name_Hall '-P 4 2 3'
loop_
_atom_site_label
_atom_site_type_symbol
_atom_site_fract_x
_atom_site_fract_y
_atom_site_fract_z
Y1 Y 0.0000 0.0000 0.0000
Mn1 Mn 0.0000 0.5000 0.5000
Tc1 Tc 0.5000 0.5000 0.5000

=====

# CsAl2Re, optimized geometry, DFT PBEsol
# total DFT energy (no corrections) = -4.642 eV/atom
# E_form = 972 meV/atom
# DOS at the Fermi energy = 16.40 states/eV per cell
data_CsAl2Re
_cell_length_a 6.4680
_cell_length_b 6.4680
_cell_length_c 14.1431
_cell_angle_alpha 90.00
_cell_angle_beta 90.00
_cell_angle_gamma 90.00
_symmetry_space_group_name_H-M 'I 41/a m d'
_symmetry_Int_Tables_number 141
loop_
_symmetry_equiv_pos_as_xyz
'x,y,z'
'-x,-y,-z'
'-y+1/4,x+3/4,z+1/4'
'y+1/4,-x+3/4,-z+1/4'
'-x+1/2,-y,z+1/2'
'x+1/2,y,-z+1/2'
'y+1/4,-x+1/4,z+3/4'
'-y+1/4,x+1/4,-z+3/4'
'x,-y,-z'
'-x,y,z'
'-y+1/4,-x+1/4,-z+3/4'
'y+1/4,x+1/4,z+3/4'
'-x+1/2,y,-z+1/2'
'x+1/2,-y,z+1/2'
'y+1/4,x+3/4,-z+1/4'
'-y+1/4,-x+3/4,z+1/4'
'x+1/2,y+1/2,z+1/2'
'-x+1/2,-y+1/2,-z+1/2'
'-y+3/4,x+1/4,z+3/4'
'y+3/4,-x+1/4,-z+3/4'
'-x,-y+1/2,z'
'x,y+1/2,-z'
'y+3/4,-x+3/4,z+1/4'
'-y+3/4,x+3/4,-z+1/4'
'x+1/2,-y+1/2,-z+1/2'
'-x+1/2,y+1/2,z+1/2'
'-y+3/4,-x+3/4,-z+1/4'
'y+3/4,x+3/4,z+1/4'
'-x,y+1/2,-z'
'x,-y+1/2,z'
'y+3/4,x+1/4,-z+3/4'
'-y+3/4,-x+1/4,z+3/4'
loop_
_atom_site_label
_atom_site_type_symbol
_atom_site_fract_x
_atom_site_fract_y
_atom_site_fract_z
Cs1 Cs 0.0000 0.2500 0.3750
Al1 Al 0.0000 0.0000 0.0000
Re1 Re 0.0000 0.2500 0.8750